1.
Below is Zr2AgTe after structural relaxation, with properties calculated at the PBE level.

Output
formation energy from raw total energies = -83 meV/atom
density of states at the Fermi level = 0.893 states/eV/atom
SG = I-42d
polymorph energy (0 for the lowest one) = 226 meV per atom
theoretical density = 7.47 g cm⁻³

abc: 6.2940 6.2940 6.2940
angles: 103.96 103.96 121.17
With the nearest neighbours (Å) after each atom.
Atoms (fractional coordinates):
Zr (0.1250, 0.6250, 0.0000)  2 Ag 2.85, 2 Te 2.85, 2 Zr 3.09
Zr (0.3750, 0.3750, 0.5000)  2 Ag 2.85, 2 Te 2.85, 2 Zr 3.09
Zr (0.6250, 0.1250, 0.0000)  2 Ag 2.85, 2 Te 2.85, 2 Zr 3.09
Zr (0.8750, 0.8750, 0.5000)  2 Ag 2.85, 2 Te 2.85, 2 Zr 3.09
Ag (0.0000, 0.0000, 0.0000)  4 Zr 2.85, 2 Te 3.09
Ag (0.7500, 0.2500, 0.5000)  4 Zr 2.85, 2 Te 3.09
Te (0.2500, 0.7500, 0.5000)  4 Zr 2.85, 2 Ag 3.09
Te (0.5000, 0.5000, 0.0000)  4 Zr 2.85, 2 Ag 3.09


2.
Below is ZrAg2Te after structural relaxation, with properties calculated at the PBE level.

Output
formation energy from raw total energies = -86 meV/atom
density of states at the Fermi level = 0.503 states/eV/atom
SG = Cm
polymorph energy (0 for the lowest one) = 123 meV per atom
theoretical density = 8.17 g cm⁻³

abc: 5.3365 5.3365 4.7451
angles: 101.60 101.60 41.99
With the nearest neighbours (Å) after each atom.
Atoms (fractional coordinates):
Zr (0.0000, 0.0000, 0.0000)  3 Te 2.89-2.91, 6 Ag 3.03-3.23
Ag (0.4688, 0.4688, 0.4776)  3 Ag 2.78-2.99, 4 Zr 3.03-3.09, 2 Te 3.03-3.04
Ag (0.7332, 0.7332, 0.3767)  3 Ag 2.78-2.99, 4 Te 3.05-3.09
Te (0.2741, 0.2741, 0.8892)  3 Zr 2.89-2.91, 6 Ag 3.03-3.09


3.
Below is ZrAg2Te after structural relaxation, with properties calculated at the PBE level.

Output
formation energy from raw total energies = -5 meV/atom
density of states at the Fermi level = 0.783 states/eV/atom
SG = P2/m
polymorph energy (0 for the lowest one) = 203 meV per atom
theoretical density = 8.30 g cm⁻³

abc: 3.2596 4.8537 5.6622
angles: 90.00 104.01 90.00
With the nearest neighbours (Å) after each atom.
Atoms (fractional coordinates):
Zr (0.0000, 0.0000, 0.0000)  2 Te 2.90, 8 Ag 3.19-3.25
Ag (0.3793, 0.5000, 0.7538)  1 Ag 2.71, 2 Te 2.90
Ag (0.6207, 0.5000, 0.2462)  1 Ag 2.71, 2 Te 2.90
Te (0.5000, 0.0000, 0.5000)  4 Ag 2.90, 2 Zr 2.90


4.
Below is ZrAg2Te after structural relaxation, with properties calculated at the PBE level.

Output
formation energy from raw total energies = 13 meV/atom
density of states at the Fermi level = 0.133 states/eV/atom
SG = I-42d
polymorph energy (0 for the lowest one) = 222 meV per atom
theoretical density = 7.90 g cm⁻³

abc: 6.3489 6.3489 6.3489
angles: 101.41 101.41 127.17
With the nearest neighbours (Å) after each atom.
Atoms (fractional coordinates):
Zr (0.0000, 0.0000, 0.0000)  2 Te 2.82, 4 Ag 2.98
Zr (0.7500, 0.2500, 0.5000)  2 Te 2.82, 4 Ag 2.98
Ag (0.1337, 0.6250, 0.0087)  2 Ag 2.83, 2 Te 2.88, 2 Zr 2.98
Ag (0.3750, 0.3837, 0.5087)  2 Ag 2.83, 2 Te 2.88, 2 Zr 2.98
Ag (0.6163, 0.1250, 0.9913)  2 Ag 2.83, 2 Te 2.88, 2 Zr 2.98
Ag (0.8750, 0.8663, 0.4913)  2 Ag 2.83, 2 Te 2.88, 2 Zr 2.98
Te (0.2500, 0.7500, 0.5000)  2 Zr 2.82, 4 Ag 2.88
Te (0.5000, 0.5000, 0.0000)  2 Zr 2.82, 4 Ag 2.88


5.
Below is ZrAg2Te after structural relaxation, with properties calculated at the PBE level.

Output
formation energy from raw total energies = -76 meV/atom
density of states at the Fermi level = 0.719 states/eV/atom
SG = C2/m
polymorph energy (0 for the lowest one) = 133 meV per atom
theoretical density = 8.48 g cm⁻³

abc: 5.8901 5.8901 4.5977
angles: 112.24 112.24 35.53
With the nearest neighbours (Å) after each atom.
Atoms (fractional coordinates):
Zr (0.0000, 0.0000, 0.0000)  4 Te 2.92, 4 Ag 3.18
Ag (0.2453, 0.2453, 0.7459)  4 Ag 2.92, 2 Te 3.10, 2 Zr 3.18
Ag (0.7547, 0.7547, 0.2541)  4 Ag 2.92, 2 Te 3.10, 2 Zr 3.18
Te (0.5000, 0.5000, 0.5000)  4 Zr 2.92, 4 Ag 3.10


6.
Below is ZrAg2Te after structural relaxation, with properties calculated at the PBE level.

Output
formation energy from raw total energies = 233 meV/atom
density of states at the Fermi level = 0.694 states/eV/atom
SG = Fm-3m
polymorph energy (0 for the lowest one) = 442 meV per atom
theoretical density = 8.23 g cm⁻³

abc: 4.9872 4.9872 4.9872
angles: 60.00 60.00 60.00
With the nearest neighbours (Å) after each atom.
Atoms (fractional coordinates):
Zr (0.0000, 0.0000, 0.0000)  8 Ag 3.05
Ag (0.2500, 0.2500, 0.2500)  4 Zr 3.05, 4 Te 3.05
Ag (0.7500, 0.7500, 0.7500)  4 Zr 3.05, 4 Te 3.05
Te (0.5000, 0.5000, 0.5000)  8 Ag 3.05


7.
Below is Zr2AgTe after structural relaxation, with properties calculated at the PBE level.

Output
formation energy from raw total energies = -310 meV/atom
density of states at the Fermi level = 0.814 states/eV/atom
SG = P4/mmm
polymorph energy (0 for the lowest one) = 0 meV per atom
theoretical density = 8.01 g cm⁻³

abc: 3.6213 3.6213 6.6033
angles: 90.00 90.00 90.00
With the nearest neighbours (Å) after each atom.
Atoms (fractional coordinates):
Zr (0.0000, 0.0000, 0.2493)  4 Te 3.04, 4 Ag 3.05, 2 Zr 3.29-3.31
Zr (0.0000, 0.0000, 0.7507)  4 Te 3.04, 4 Ag 3.05, 2 Zr 3.29-3.31
Ag (0.5000, 0.5000, 0.5000)  8 Zr 3.05, 2 Te 3.30
Te (0.5000, 0.5000, 0.0000)  8 Zr 3.04, 2 Ag 3.30


8.
Below is Zr2AgTe after structural relaxation, with properties calculated at the PBE level.

Output
formation energy from raw total energies = -138 meV/atom
density of states at the Fermi level = 0.856 states/eV/atom
SG = Cmm2
polymorph energy (0 for the lowest one) = 171 meV per atom
theoretical density = 7.28 g cm⁻³

abc: 3.2468 3.2468 9.4387
angles: 90.00 90.00 106.61
With the nearest neighbours (Å) after each atom.
Atoms (fractional coordinates):
Zr (0.0000, 0.0000, 0.0000)  2 Te 2.89, 2 Zr 3.05
Zr (0.5000, 0.5000, 0.2490)  2 Ag 2.93, 6 Zr 3.05-3.25
Ag (0.0000, 0.0000, 0.4819)  2 Zr 2.93, 4 Ag 3.25
Te (0.5000, 0.5000, 0.7734)  2 Zr 2.89